# 1
This record from Alexandria describes a geometry-optimized PrYSc3 structure. The functional is GGA-PBE.

abc: 6.2080 6.2112 8.4328
angles: 75.79 74.21 65.90
Space group P-1 (No. 2)
Symmetry-distinct sites (fractional):
Pr (0.2310, 0.2304, 0.0023) (multiplicity 2)
Y (0.2053, 0.6814, 0.2256) (multiplicity 2)
Sc (0.1547, 0.1442, 0.4086) (multiplicity 2)
Sc (0.3071, 0.8162, 0.7556) (multiplicity 2)
Sc (0.3494, 0.3561, 0.5965) (multiplicity 2)

Calculated values
calculated formation energy = 44 meV per atom
magnetic moment = 0.0 μB/f.u.
theoretical density = 4.29 Mg/m³

=====

# 2
This record from Alexandria describes a geometry-optimized Pr4Y5Sc structure. The functional is GGA-PBE.

abc: 3.6174 3.6174 25.2072
angles: 90.00 90.00 90.00
Space group P4/mmm (No. 123)
Symmetry-distinct sites (fractional):
Pr (0.0000, 0.0000, 0.1024) (multiplicity 2)
Pr (0.0000, 0.0000, 0.3073) (multiplicity 2)
Y (0.5000, 0.5000, 0.0000) (multiplicity 1)
Y (0.5000, 0.5000, 0.2053) (multiplicity 2)
Y (0.5000, 0.5000, 0.4113) (multiplicity 2)
Sc (0.0000, 0.0000, 0.5000) (multiplicity 1)

Calculated values
calculated formation energy = 31 meV per atom
magnetic moment = 0.0 μB/f.u.
theoretical density = 5.30 Mg/m³

=====

In meV per atom, the energy above the most stable polymorph in this dataset values for the records above are, in order, 0 0.
In eV/cell, the E values for the records above are, in order, -60.03 -57.46.